MoOs2Rh PBE relaxed; polymorph energy (0 for the lowest one) = 0.054 eV per atom; ΔE_f = 0.01 eV per atom; total magnetization = 0.00 Bohr magnetons per cell
1.0
-3.760 -0.322 -0.919
0.625 -1.870 -1.902
0.051 -5.884 1.851
Mo Os Rh
1 2 1
direct
0.500 0.748 0.751
0.000 0.986 0.014
0.500 0.266 0.234
0.000 0.499 0.500